(1)
This record from Alexandria via LeMat-Bulk describes a geometry-optimized Ce3PuAu2 structure. The functional is PBE-GGA. Values from VASP.

Summary:
Energy of formation   -1.78 eV/f.u.

Geometry as Quantum ESPRESSO input:
```
&SYSTEM
  ibrav = 0, nat = 12, ntyp = 3
/
ATOMIC_SPECIES
Ce 140.12 Ce.upf
Pu 244.00 Pu.upf
Au 196.97 Au.upf
CELL_PARAMETERS angstrom
-4.170 4.613 -1.635
-4.610 -1.262 4.301
1.462 5.150 5.206
ATOMIC_POSITIONS crystal
Ce 0.451 0.549 0.250
Ce 0.549 0.451 0.750
Ce 0.946 0.770 0.983
Ce 0.230 0.054 0.517
Ce 0.770 0.946 0.483
Ce 0.054 0.230 0.017
Pu 0.866 0.134 0.750
Pu 0.134 0.866 0.250
Au 0.114 0.546 0.634
Au 0.546 0.114 0.134
Au 0.454 0.886 0.866
Au 0.886 0.454 0.366
```

(2)
This record from Alexandria via LeMat-Bulk describes a geometry-optimized DyScGePt structure. The functional is PBE-GGA. Values from VASP.

Summary:
Relative energy among the computed polymorphs   127 meV per atom
Energy of formation   -3.66 eV/f.u.

Geometry as Quantum ESPRESSO input:
```
&SYSTEM
  ibrav = 0, nat = 4, ntyp = 4
/
ATOMIC_SPECIES
Sc 44.96 Sc.upf
Ge 72.64 Ge.upf
Pt 195.08 Pt.upf
Dy 162.50 Dy.upf
CELL_PARAMETERS angstrom
-4.216 0.590 -2.373
-2.376 -3.880 -1.748
-4.178 -1.431 2.062
ATOMIC_POSITIONS crystal
Sc 0.500 0.500 0.500
Ge 0.250 0.250 0.250
Pt 0.750 0.750 0.750
Dy 0.000 0.000 0.000
```

(3)
This record from Alexandria via LeMat-Bulk describes a geometry-optimized Ta4Ir4Ru5 structure. The functional is PBE-GGA. Values from VASP.

Summary:
Energy of formation   -5.19 eV/f.u.

Geometry as Quantum ESPRESSO input:
```
&SYSTEM
  ibrav = 0, nat = 13, ntyp = 3
/
ATOMIC_SPECIES
Ta 180.95 Ta.upf
Ir 192.22 Ir.upf
Ru 101.07 Ru.upf
CELL_PARAMETERS angstrom
-2.267 2.848 1.473
-6.206 -3.357 2.174
1.703 0.352 7.175
ATOMIC_POSITIONS crystal
Ta 0.777 0.362 0.085
Ta 0.223 0.638 0.915
Ta 0.861 0.915 0.362
Ta 0.139 0.085 0.638
Ir 0.918 0.470 0.694
Ir 0.612 0.306 0.470
Ir 0.082 0.530 0.306
Ir 0.388 0.694 0.530
Ru 0.692 0.847 0.770
Ru 0.308 0.153 0.230
Ru 0.000 0.000 0.000
Ru 0.538 0.770 0.153
Ru 0.462 0.230 0.847
```

(4)
This record from Alexandria via LeMat-Bulk describes a geometry-optimized Rb3Pu3FeS8 structure. The functional is PBE-GGA. Values from VASP.

Summary:
E_form (uncorrected)   -1241 meV/atom

Geometry as Quantum ESPRESSO input:
```
&SYSTEM
  ibrav = 0, nat = 15, ntyp = 4
/
ATOMIC_SPECIES
Rb 85.47 Rb.upf
Pu 244.00 Pu.upf
Fe 55.84 Fe.upf
S 32.06 S.upf
CELL_PARAMETERS angstrom
7.918 0.001 0.000
-3.959 6.960 -0.030
-0.001 -4.630 7.794
ATOMIC_POSITIONS crystal
Rb 0.000 0.000 0.000
Rb 0.000 0.500 0.000
Rb 0.500 0.500 0.000
Pu 0.500 0.000 0.500
Pu 0.500 0.500 0.500
Pu 0.000 0.500 0.500
Fe 0.000 0.000 0.500
S 0.268 0.536 0.307
S 0.732 0.464 0.693
S 0.777 0.555 0.321
S 0.223 0.445 0.679
S 0.786 0.038 0.326
S 0.214 0.962 0.674
S 0.252 0.038 0.325
S 0.748 0.962 0.675
```

(5)
This record from Alexandria via LeMat-Bulk describes a geometry-optimized Pr3Mg9Pd2 structure. The functional is PBE-GGA. Values from VASP.

Summary:
Energy of formation   -3.40 eV/f.u.

Geometry as Quantum ESPRESSO input:
```
&SYSTEM
  ibrav = 0, nat = 14, ntyp = 3
/
ATOMIC_SPECIES
Pr 140.91 Pr.upf
Mg 24.30 Mg.upf
Pd 106.42 Pd.upf
CELL_PARAMETERS angstrom
4.849 0.000 1.237
2.036 8.114 2.141
0.383 -0.331 8.621
ATOMIC_POSITIONS crystal
Pr 0.000 0.000 0.000
Pr 0.705 0.295 0.295
Pr 0.295 0.705 0.705
Mg 0.000 0.500 0.500
Mg 0.633 0.008 0.726
Mg 0.367 0.992 0.274
Mg 0.633 0.726 0.008
Mg 0.367 0.274 0.992
Mg 0.870 0.848 0.412
Mg 0.130 0.152 0.588
Mg 0.870 0.412 0.848
Mg 0.130 0.588 0.152
Pd 0.500 0.345 0.655
Pd 0.500 0.655 0.345
```

(6)
This record from Alexandria via LeMat-Bulk describes a geometry-optimized CaPt2 structure. The functional is PBE-GGA. Values from VASP.

Summary:
Energy of formation   -0.53 eV/f.u.

Geometry as Quantum ESPRESSO input:
```
&SYSTEM
  ibrav = 0, nat = 3, ntyp = 2
/
ATOMIC_SPECIES
Ca 40.08 Ca.upf
Pt 195.08 Pt.upf
CELL_PARAMETERS angstrom
-2.169 1.793 1.091
1.229 -2.123 1.759
4.837 4.560 2.122
ATOMIC_POSITIONS crystal
Ca 0.000 0.000 0.000
Pt 0.333 0.667 0.670
Pt 0.667 0.333 0.330
```

(7)
This record from Alexandria via LeMat-Bulk describes a geometry-optimized PaCuReO6 structure. The functional is PBE-GGA. Values from VASP.

Summary:
E_form (uncorrected)   -1967 meV/atom

Geometry as Quantum ESPRESSO input:
```
&SYSTEM
  ibrav = 0, nat = 18, ntyp = 4
/
ATOMIC_SPECIES
Pa 231.04 Pa.upf
Cu 63.55 Cu.upf
Re 186.21 Re.upf
O 16.00 O.upf
CELL_PARAMETERS angstrom
5.478 0.000 0.000
-2.739 4.744 0.000
0.000 0.000 8.921
ATOMIC_POSITIONS crystal
Pa 0.333 0.667 0.250
Pa 0.667 0.333 0.750
Cu 0.000 0.000 0.000
Cu 0.000 0.000 0.500
Re 0.667 0.333 0.250
Re 0.333 0.667 0.750
O 0.664 0.632 0.131
O 0.968 0.336 0.131
O 0.336 0.968 0.631
O 0.032 0.664 0.869
O 0.368 0.336 0.369
O 0.968 0.632 0.369
O 0.632 0.968 0.869
O 0.664 0.032 0.369
O 0.032 0.368 0.631
O 0.368 0.032 0.131
O 0.632 0.664 0.631
O 0.336 0.368 0.869
```

(8)
This record from Alexandria via LeMat-Bulk describes a geometry-optimized PuBrN structure. The functional is PBE-GGA. Values from VASP.

Summary:
E_form (uncorrected)   -1111 meV/atom

Geometry as Quantum ESPRESSO input:
```
&SYSTEM
  ibrav = 0, nat = 3, ntyp = 3
/
ATOMIC_SPECIES
N 14.01 N.upf
Br 79.90 Br.upf
Pu 244.00 Pu.upf
CELL_PARAMETERS angstrom
3.699 0.000 0.000
-1.849 3.203 0.000
0.000 0.000 5.860
ATOMIC_POSITIONS crystal
N 0.333 0.667 0.510
Br 0.000 0.000 0.069
Pu 0.667 0.333 0.421
```

Copy entry 5 word for word.
This record from Alexandria via LeMat-Bulk describes a geometry-optimized Pr3Mg9Pd2 structure. The functional is PBE-GGA. Values from VASP.

Summary:
Energy of formation   -3.40 eV/f.u.

Geometry as Quantum ESPRESSO input:
```
&SYSTEM
  ibrav = 0, nat = 14, ntyp = 3
/
ATOMIC_SPECIES
Pr 140.91 Pr.upf
Mg 24.30 Mg.upf
Pd 106.42 Pd.upf
CELL_PARAMETERS angstrom
4.849 0.000 1.237
2.036 8.114 2.141
0.383 -0.331 8.621
ATOMIC_POSITIONS crystal
Pr 0.000 0.000 0.000
Pr 0.705 0.295 0.295
Pr 0.295 0.705 0.705
Mg 0.000 0.500 0.500
Mg 0.633 0.008 0.726
Mg 0.367 0.992 0.274
Mg 0.633 0.726 0.008
Mg 0.367 0.274 0.992
Mg 0.870 0.848 0.412
Mg 0.130 0.152 0.588
Mg 0.870 0.412 0.848
Mg 0.130 0.588 0.152
Pd 0.500 0.345 0.655
Pd 0.500 0.655 0.345
```

Copy entry 6 word for word.
This record from Alexandria via LeMat-Bulk describes a geometry-optimized CaPt2 structure. The functional is PBE-GGA. Values from VASP.

Summary:
Energy of formation   -0.53 eV/f.u.

Geometry as Quantum ESPRESSO input:
```
&SYSTEM
  ibrav = 0, nat = 3, ntyp = 2
/
ATOMIC_SPECIES
Ca 40.08 Ca.upf
Pt 195.08 Pt.upf
CELL_PARAMETERS angstrom
-2.169 1.793 1.091
1.229 -2.123 1.759
4.837 4.560 2.122
ATOMIC_POSITIONS crystal
Ca 0.000 0.000 0.000
Pt 0.333 0.667 0.670
Pt 0.667 0.333 0.330
```